*one*
Here is a relaxed structure of Li3ZnSi from the Alexandria database. Energies are from PBE.

abc: 4.5867 4.5867 4.5867
angles: 90.00 90.00 90.00
Positions (direct):
Li: 0.0000 0.0000 0.5000
Li: 0.0000 0.5000 0.0000
Li: 0.5000 0.0000 0.0000
Zn: 0.0000 0.0000 0.0000
Si: 0.5000 0.5000 0.5000

Calculated values
Space-group type   No. 221
N(E_F)   1.8 states/eV/cell

---

*two*
Here is a relaxed structure of Li3ZnSi from the Alexandria database. Energies are from PBE.

abc: 4.8363 5.6020 5.9977
angles: 76.33 76.57 71.99
Positions (direct):
Li: 0.0000 0.0000 0.0000
Li: 0.0000 0.5000 0.0000
Li: 0.1971 0.3160 0.5942
Li: 0.4029 0.1063 0.2010
Li: 0.5971 0.8937 0.7990
Li: 0.8029 0.6840 0.4058
Zn: 0.2107 0.8047 0.5787
Zn: 0.7893 0.1953 0.4213
Si: 0.4286 0.5823 0.1881
Si: 0.5714 0.4177 0.8119

Calculated values
Space-group type   No. 2
N(E_F)   2.2 states/eV/cell

---

Result of the stability comparison: *two* is the most stable of them.

---

*one*
Here is a relaxed structure of Li3ZnSi from the Alexandria database. Energies are from PBE.

abc: 6.3605 6.3605 6.3605
angles: 85.31 118.28 127.44
Positions (direct):
Li: 0.1762 0.0016 0.6745
Li: 0.2487 0.0284 0.2771
Li: 0.2487 0.4716 0.7203
Li: 0.3271 0.5016 0.3255
Li: 0.7513 0.5284 0.2797
Li: 0.7513 0.9716 0.7229
Zn: 0.2513 0.7515 0.9998
Zn: 0.7518 0.2515 0.0002
Si: 0.7070 0.5011 0.7059
Si: 0.7952 0.0011 0.2941

Calculated values
Space-group type   No. 46
N(E_F)   2.0 states/eV/cell

---

*two*
Here is a relaxed structure of Li3ZnSi from the Alexandria database. Energies are from PBE.

abc: 4.7946 4.7946 4.7946
angles: 90.00 90.00 90.00
Positions (direct):
Li: 0.0000 0.0000 0.5000
Li: 0.0000 0.5000 0.0000
Li: 0.5000 0.0000 0.0000
Zn: 0.5000 0.5000 0.5000
Si: 0.0000 0.0000 0.0000

Calculated values
Space-group type   No. 221
N(E_F)   2.6 states/eV/cell

---

Result of the stability comparison: *one* is the most stable of them.

---

*one*
Here is a relaxed structure of LiZn3Si from the Alexandria database. Energies are from PBE.

abc: 4.4277 4.4277 4.4277
angles: 90.00 90.00 90.00
Positions (direct):
Li: 0.0000 0.0000 0.0000
Zn: 0.0000 0.0000 0.5000
Zn: 0.0000 0.5000 0.0000
Zn: 0.5000 0.0000 0.0000
Si: 0.5000 0.5000 0.5000

Calculated values
Space-group type   No. 221
N(E_F)   1.6 states/eV/cell

---

*two*
Here is a relaxed structure of LiZn3Si from the Alexandria database. Energies are from PBE.

abc: 4.7959 4.7959 4.7959
angles: 90.00 90.00 90.00
Positions (direct):
Li: 0.0000 0.0000 0.0000
Zn: 0.0000 0.5000 0.5000
Zn: 0.5000 0.0000 0.5000
Zn: 0.5000 0.5000 0.0000
Si: 0.5000 0.5000 0.5000

Calculated values
Space-group type   No. 221
N(E_F)   2.2 states/eV/cell

---

Result of the stability comparison: *two* is the most stable of them.

---

*one*
Here is a relaxed structure of Li6ZnSi2 from the Alexandria database. Energies are from PBE.

abc: 7.5732 7.5732 2.5585
angles: 90.00 90.00 120.00
Positions (direct):
Li: 0.0000 0.3392 0.0000
Li: 0.0000 0.6608 0.0000
Li: 0.3392 0.0000 0.0000
Li: 0.3392 0.3392 0.0000
Li: 0.6608 0.0000 0.0000
Li: 0.6608 0.6608 0.0000
Zn: 0.0000 0.0000 0.5000
Si: 0.3333 0.6667 0.5000
Si: 0.6667 0.3333 0.5000

Calculated values
Space-group type   No. 191
N(E_F)   3.4 states/eV/cell

---

*two*
Here is a relaxed structure of Li6ZnSi2 from the Alexandria database. Energies are from PBE.

abc: 8.9298 8.9298 8.9298
angles: 29.11 29.11 29.11
Positions (direct):
Li: 0.0783 0.0783 0.0783
Li: 0.2080 0.2080 0.2080
Li: 0.3081 0.3081 0.3081
Li: 0.6919 0.6919 0.6919
Li: 0.7920 0.7920 0.7920
Li: 0.9217 0.9217 0.9217
Zn: 0.5000 0.5000 0.5000
Si: 0.4092 0.4092 0.4092
Si: 0.5908 0.5908 0.5908

Calculated values
Space-group type   No. 166
N(E_F)   3.1 states/eV/cell

---

Result of the stability comparison: *two* is the most stable of them.

---

*one*
Here is a relaxed structure of LiZrSi2 from the Alexandria database. Energies are from PBE.

abc: 2.9079 3.7799 5.7984
angles: 90.00 90.65 90.00
Positions (direct):
Li: 0.0000 0.0000 0.0000
Zr: 0.0000 0.0000 0.5000
Si: 0.4979 0.5000 0.7834
Si: 0.5021 0.5000 0.2166

Calculated values
Space-group type   No. 10
N(E_F)   2.4 states/eV/cell

---

*two*
Here is a relaxed structure of LiZrSi2 from the Alexandria database. Energies are from PBE.

abc: 6.9482 6.9482 5.4551
angles: 90.00 90.00 90.00
Positions (direct):
Li: 0.0000 0.0000 0.0000
Li: 0.0000 0.5000 0.2500
Li: 0.5000 0.0000 0.7500
Li: 0.5000 0.5000 0.5000
Zr: 0.0000 0.0000 0.5000
Zr: 0.0000 0.5000 0.7500
Zr: 0.5000 0.0000 0.2500
Zr: 0.5000 0.5000 0.0000
Si: 0.2127 0.2500 0.1250
Si: 0.2500 0.7127 0.3750
Si: 0.2500 0.7873 0.8750
Si: 0.2873 0.2500 0.6250
Si: 0.7127 0.7500 0.6250
Si: 0.7500 0.2127 0.8750
Si: 0.7500 0.2873 0.3750
Si: 0.7873 0.7500 0.1250

Calculated values
Space-group type   No. 122
N(E_F)   10.9 states/eV/cell

---

Result of the stability comparison: *one* is the most stable of them.

---

*one*
Here is a relaxed structure of LiZrSi3 from the Alexandria database. Energies are from PBE.

abc: 5.0986 5.0986 5.0986
angles: 90.00 90.00 90.00
Positions (direct):
Li: 0.0000 0.0000 0.0000
Zr: 0.5000 0.5000 0.5000
Si: 0.0000 0.5000 0.5000
Si: 0.5000 0.0000 0.5000
Si: 0.5000 0.5000 0.0000

Calculated values
Space-group type   No. 221
N(E_F)   3.1 states/eV/cell

---

*two*
Here is a relaxed structure of LiZrSi3 from the Alexandria database. Energies are from PBE.

abc: 4.3399 4.3399 4.3399
angles: 90.00 90.00 90.00
Positions (direct):
Li: 0.0000 0.0000 0.0000
Zr: 0.5000 0.5000 0.5000
Si: 0.0000 0.0000 0.5000
Si: 0.0000 0.5000 0.0000
Si: 0.5000 0.0000 0.0000

Calculated values
Space-group type   No. 221
N(E_F)   2.5 states/eV/cell

---

Result of the stability comparison: *two* is the most stable of them.

---

*one*
Here is a relaxed structure of Li3ZrSi from the Alexandria database. Energies are from PBE.

abc: 5.0229 5.0229 5.0229
angles: 90.00 90.00 90.00
Positions (direct):
Li: 0.0000 0.0000 0.5000
Li: 0.0000 0.5000 0.0000
Li: 0.5000 0.0000 0.0000
Zr: 0.0000 0.0000 0.0000
Si: 0.5000 0.5000 0.5000

Calculated values
Space-group type   No. 221
N(E_F)   3.5 states/eV/cell

---

*two*
Here is a relaxed structure of Li3ZrSi from the Alexandria database. Energies are from PBE.

abc: 4.4424 4.4424 4.4424
angles: 90.00 90.00 90.00
Positions (direct):
Li: 0.0000 0.0000 0.5000
Li: 0.0000 0.5000 0.0000
Li: 0.5000 0.0000 0.0000
Zr: 0.5000 0.5000 0.5000
Si: 0.0000 0.0000 0.0000

Calculated values
Space-group type   No. 221
N(E_F)   4.5 states/eV/cell

---

Result of the stability comparison: *two* is the most stable of them.

---

*one*
Here is a relaxed structure of Li2Sm from the Alexandria database. Energies are from PBE.

abc: 3.6278 3.6278 11.1141
angles: 90.00 90.00 90.00
Positions (direct):
Li: 0.0000 0.0000 0.1922
Li: 0.0000 0.0000 0.8078
Li: 0.5000 0.5000 0.3078
Li: 0.5000 0.5000 0.6922
Sm: 0.0000 0.0000 0.5000
Sm: 0.5000 0.5000 0.0000

Calculated values
Space-group type   No. 139
N(E_F)   6.1 states/eV/cell

---

*two*
Here is a relaxed structure of Li2Sm from the Alexandria database. Energies are from PBE.

abc: 5.9115 5.9115 5.9115
angles: 60.00 60.00 60.00
Positions (direct):
Li: 0.0000 0.0000 0.0000
Li: 0.0000 0.0000 0.5000
Li: 0.0000 0.5000 0.0000
Li: 0.5000 0.0000 0.0000
Sm: 0.3750 0.3750 0.3750
Sm: 0.6250 0.6250 0.6250

Calculated values
Space-group type   No. 227
N(E_F)   4.3 states/eV/cell

---

Result of the stability comparison: *two* is the most stable of them.

---

*one*
Here is a relaxed structure of Li3Sm from the Alexandria database. Energies are from PBE.

abc: 6.6420 6.6420 5.1068
angles: 90.00 90.00 120.00
Positions (direct):
Li: 0.1493 0.2986 0.2500
Li: 0.1493 0.8507 0.2500
Li: 0.2986 0.1493 0.7500
Li: 0.7014 0.8507 0.2500
Li: 0.8507 0.1493 0.7500
Li: 0.8507 0.7014 0.7500
Sm: 0.3333 0.6667 0.7500
Sm: 0.6667 0.3333 0.2500

Calculated values
Space-group type   No. 194
N(E_F)   8.5 states/eV/cell

---

*two*
Here is a relaxed structure of Li3Sm from the Alexandria database. Energies are from PBE.

abc: 7.2737 7.2737 7.2737
angles: 90.00 90.00 90.00
Positions (direct):
Li: 0.0000 0.0000 0.0000
Li: 0.0000 0.5000 0.5000
Li: 0.2500 0.2500 0.2500
Li: 0.2500 0.2500 0.7500
Li: 0.2500 0.7500 0.2500
Li: 0.2500 0.7500 0.7500
Li: 0.5000 0.0000 0.5000
Li: 0.5000 0.5000 0.0000
Li: 0.7500 0.2500 0.2500
Li: 0.7500 0.2500 0.7500
Li: 0.7500 0.7500 0.2500
Li: 0.7500 0.7500 0.7500
Sm: 0.0000 0.0000 0.5000
Sm: 0.0000 0.5000 0.0000
Sm: 0.5000 0.0000 0.0000
Sm: 0.5000 0.5000 0.5000

Calculated values
Space-group type   No. 225
N(E_F)   17.5 states/eV/cell

---

Result of the stability comparison: *one* is the most stable of them.

---

*one*
Here is a relaxed structure of Li4Sm3Sn4 from the Alexandria database. Energies are from PBE.

abc: 8.7748 8.7748 8.7748
angles: 149.23 131.70 58.37
Positions (direct):
Li: 0.0165 0.8275 0.1891
Li: 0.3616 0.1725 0.1891
Li: 0.6384 0.8275 0.8109
Li: 0.9835 0.1725 0.8109
Sm: 0.0000 0.5000 0.5000
Sm: 0.3715 0.3715 0.0000
Sm: 0.6285 0.6285 0.0000
Sn: 0.2146 0.7146 0.5000
Sn: 0.2999 0.0000 0.2999
Sn: 0.7001 0.0000 0.7001
Sn: 0.7854 0.2854 0.5000

Calculated values
Space-group type   No. 71
N(E_F)   3.2 states/eV/cell

---

*two*
Here is a relaxed structure of Li4Sm3Sn4 from the Alexandria database. Energies are from PBE.

abc: 15.1505 15.1505 15.1505
angles: 166.02 161.81 23.01
Positions (direct):
Li: 0.0931 0.0931 0.0000
Li: 0.2582 0.7582 0.5000
Li: 0.7418 0.2418 0.5000
Li: 0.9069 0.9069 0.0000
Sm: 0.0000 0.5000 0.5000
Sm: 0.3587 0.3587 0.0000
Sm: 0.6413 0.6413 0.0000
Sn: 0.1844 0.1844 0.0000
Sn: 0.4499 0.9499 0.5000
Sn: 0.5501 0.0501 0.5000
Sn: 0.8156 0.8156 0.0000

Calculated values
Space-group type   No. 71
N(E_F)   4.2 states/eV/cell

---

Result of the stability comparison: *one* is the most stable of them.

---

*one*
Here is a relaxed structure of LiSm3Sn3 from the Alexandria database. Energies are from PBE.

abc: 9.3723 9.3723 6.2247
angles: 90.00 90.00 120.00
Positions (direct):
Li: 0.3333 0.6667 0.2500
Li: 0.6667 0.3333 0.7500
Sm: 0.0430 0.3522 0.7500
Sm: 0.3092 0.9570 0.7500
Sm: 0.3522 0.3092 0.2500
Sm: 0.6478 0.6908 0.7500
Sm: 0.6908 0.0430 0.2500
Sm: 0.9570 0.6478 0.2500
Sn: 0.0378 0.3576 0.2500
Sn: 0.3198 0.9622 0.2500
Sn: 0.3576 0.3198 0.7500
Sn: 0.6424 0.6802 0.2500
Sn: 0.6802 0.0378 0.7500
Sn: 0.9622 0.6424 0.7500

Calculated values
Space-group type   No. 176
N(E_F)   10.7 states/eV/cell

---

*two*
Here is a relaxed structure of LiSm3Sn3 from the Alexandria database. Energies are from PBE.

abc: 6.2329 6.2329 15.0499
angles: 108.10 108.10 43.66
Positions (direct):
Li: 0.2405 0.2405 0.4014
Li: 0.7595 0.7595 0.5986
Sm: 0.2566 0.2566 0.7766
Sm: 0.4045 0.4045 0.0800
Sm: 0.4643 0.4643 0.6157
Sm: 0.5357 0.5357 0.3843
Sm: 0.5955 0.5955 0.9200
Sm: 0.7434 0.7434 0.2234
Sn: 0.0323 0.0323 0.2361
Sn: 0.1290 0.1290 0.0751
Sn: 0.1346 0.1346 0.5520
Sn: 0.8654 0.8654 0.4480
Sn: 0.8710 0.8710 0.9249
Sn: 0.9677 0.9677 0.7639

Calculated values
Space-group type   No. 12
N(E_F)   8.5 states/eV/cell

---

Result of the stability comparison: *two* is the most stable of them.

---

*one*
Here is a relaxed structure of Li6SmSn6 from the Alexandria database. Energies are from PBE.

abc: 5.8264 5.8264 9.3466
angles: 90.00 90.00 120.00
Positions (direct):
Li: 0.0000 0.5000 0.2467
Li: 0.0000 0.5000 0.7533
Li: 0.5000 0.0000 0.2467
Li: 0.5000 0.0000 0.7533
Li: 0.5000 0.5000 0.2467
Li: 0.5000 0.5000 0.7533
Sm: 0.0000 0.0000 0.0000
Sn: 0.0000 0.0000 0.3474
Sn: 0.0000 0.0000 0.6526
Sn: 0.3333 0.6667 0.0000
Sn: 0.3333 0.6667 0.5000
Sn: 0.6667 0.3333 0.0000
Sn: 0.6667 0.3333 0.5000

Calculated values
Space-group type   No. 191
N(E_F)   4.5 states/eV/cell

---

*two*
Here is a relaxed structure of Li6SmSn6 from the Alexandria database. Energies are from PBE.

abc: 7.4520 7.4520 7.4520
angles: 134.35 101.29 96.03
Positions (direct):
Li: 0.0000 0.0000 0.5000
Li: 0.0000 0.5000 0.0000
Li: 0.2502 0.0000 0.2502
Li: 0.5000 0.0000 0.0000
Li: 0.5000 0.5000 0.5000
Li: 0.7498 0.0000 0.7498
Sm: 0.5000 0.5000 0.0000
Sn: 0.1531 0.5000 0.6531
Sn: 0.1650 0.1650 0.0000
Sn: 0.3349 0.8349 0.5000
Sn: 0.6651 0.1651 0.5000
Sn: 0.8350 0.8350 0.0000
Sn: 0.8469 0.5000 0.3469

Calculated values
Space-group type   No. 71
N(E_F)   5.0 states/eV/cell

---

Result of the stability comparison: *two* is the most stable of them.